(1)
First-principles (PBE) data for CsBiIr2C after structural relaxation, as listed in Alexandria via LeMat-Bulk.

Lattice parameters (Å, degrees): 4.3102 4.3102 5.4024 90.00 90.00 90.00
Last column: nearest neighbours and their distance in Å.
Space group P4/mmm (No. 123)
One atom of each set of equivalent atoms:
Cs 0.0000 0.0000 0.0000 (multiplicity 1)  4 Bi 3.05
Bi 0.5000 0.5000 0.0000 (multiplicity 1)  2 C 2.70
Ir 0.0000 0.5000 0.5000 (multiplicity 2)  2 C 2.16
C 0.5000 0.5000 0.5000 (multiplicity 1)  4 Ir 2.16

Summary:
Formation energy from the elements, eV per formula unit: 5.861
Total DFT energy (no corrections), eV per atom: -5.1640

(2)
First-principles (PBE) data for BaNd2NpN4 after structural relaxation, as listed in Alexandria via LeMat-Bulk.

Lattice parameters (Å, degrees): 3.7321 12.8441 13.0336 90.00 90.00 90.00
Last column: nearest neighbours and their distance in Å.
Space group Cmcm (No. 63)
One atom of each set of equivalent atoms:
Ba 0.0000 0.1048 0.2500 (multiplicity 4)  6 N 2.95-3.15
Nd 0.0000 0.3713 0.0307 (multiplicity 8)  5 N 2.41-2.70
Np 0.0000 0.1631 0.7500 (multiplicity 4)  4 N 2.13-2.20
N 0.0000 0.0000 0.0000 (multiplicity 4)  4 Nd 2.52
N 0.0000 0.2544 0.6139 (multiplicity 8)  1 Np 2.13
N 0.0000 0.4269 0.2500 (multiplicity 4)  2 Np 2.20

Summary:
Total DFT energy (no corrections), eV per atom: -8.1538

(3)
First-principles (PBE) data for SrAgSb2I after structural relaxation, as listed in Alexandria via LeMat-Bulk.

Lattice parameters (Å, degrees): 5.3162 5.3162 6.2795 90.00 90.00 90.00
Last column: nearest neighbours and their distance in Å.
Space group P4/mmm (No. 123)
One atom of each set of equivalent atoms:
Sr 0.0000 0.0000 0.0000 (multiplicity 1)  4 I 3.76, 8 Sb 4.11
Ag 0.5000 0.5000 0.5000 (multiplicity 1)  4 Sb 2.66
Sb 0.0000 0.5000 0.5000 (multiplicity 2)  2 Ag 2.66
I 0.5000 0.5000 0.0000 (multiplicity 1)  2 Ag 3.14

Summary:
Total DFT energy (no corrections), eV per atom: -2.9714

(4)
First-principles (PBE) data for Ac5HRuPt2 after structural relaxation, as listed in Alexandria via LeMat-Bulk.

Lattice parameters (Å, degrees): 4.2430 18.2462 13.3485 90.00 90.00 90.00
Last column: nearest neighbours and their distance in Å.
Space group Cmc2_1 (No. 36)
One atom of each set of equivalent atoms:
Ac 0.0000 0.0014 0.0000 (multiplicity 4)  1 H 2.41
Ac 0.0000 0.1427 0.2568 (multiplicity 4)  1 Ru 2.89
Ac 0.0000 0.1966 0.6053 (multiplicity 4)  1 H 2.54
Ac 0.0000 0.2026 0.9121 (multiplicity 4)  2 Ru 2.95, 1 Pt 3.30
Ac 0.0000 0.4555 0.2455 (multiplicity 4)  2 H 2.45
H 0.0000 0.0628 0.6577 (multiplicity 4)  4 Ac 2.41-2.54
Ru 0.0000 0.3012 0.2592 (multiplicity 4)  6 Ac 2.82-2.95
Pt 0.0000 0.3816 0.5733 (multiplicity 4)  7 Ac 3.16-3.40
Pt 0.0000 0.3824 0.9379 (multiplicity 4)  7 Ac 3.15-3.40

Summary:
Total DFT energy (no corrections), eV per atom: -5.6617

| no. | theoretical density (Mg/m³) | Fermi-level density of states (states/eV per atom) | magnetic moment (μB per atom) |
| --- | --- | --- | --- |
| 1 | 12.22 | 0.492 | 0.000 |
| 2 | 7.64 | 0.766 | 0.374 |
| 3 | 5.30 | 1.380 | 0.000 |
| 4 | 10.46 | 0.615 | 0.003 |